# 1
A relaxed TlPdAu2 crystal, computed with GGA-PBE.

Results
* crystal system: cubic
* energy: -14.1 eV/cell
* SG: F-43m

Cell: 4.7249 4.7249 4.7249 Å, 60.00 60.00 60.00°
With the nearest neighbours (Å) after each atom.
Sites, in units of the cell vectors:
Au (0.0000, 0.0000, 0.0000)  4 Au 2.89, 4 Pd 2.89
Au (0.7500, 0.7500, 0.7500)  4 Tl 2.89, 4 Au 2.89
Pd (0.2500, 0.2500, 0.2500)  4 Tl 2.89, 4 Au 2.89
Tl (0.5000, 0.5000, 0.5000)  4 Au 2.89, 4 Pd 2.89

# 2
A relaxed Tl2PdAu crystal, computed with GGA-PBE.

Results
* crystal system: cubic
* energy: -12.9 eV/cell
* SG: F-43m

Cell: 4.9643 4.9643 4.9643 Å, 60.00 60.00 60.00°
With the nearest neighbours (Å) after each atom.
Sites, in units of the cell vectors:
Au (0.5000, 0.5000, 0.5000)  4 Pd 3.04, 4 Tl 3.04
Pd (0.7500, 0.7500, 0.7500)  4 Au 3.04, 4 Tl 3.04
Tl (0.0000, 0.0000, 0.0000)  4 Tl 3.04, 4 Pd 3.04
Tl (0.2500, 0.2500, 0.2500)  4 Tl 3.04, 4 Au 3.04

# 3
A relaxed TmPd6Au5 crystal, computed with GGA-PBE.

Results
* crystal system: monoclinic
* ΔH_f (0 K): -37.6 kJ/mol of atoms
* energy: -56.5 eV/cell
* SG: C2/m
* total magnetic moment: 0.00 Bohr magnetons per cell

Cell: 6.5628 6.5628 7.8012 Å, 90.05 90.05 142.66°
With the nearest neighbours (Å) after each atom.
Sites, in units of the cell vectors:
Au (0.6682, 0.3318, 0.0000)  8 Pd 2.83-2.88, 2 Au 2.92, 2 Tm 2.96
Au (0.3318, 0.6682, 0.0000)  8 Pd 2.83-2.88, 2 Au 2.92, 2 Tm 2.96
Au (0.0000, 0.0000, 0.5000)  8 Pd 2.85-2.88, 4 Au 2.93
Au (0.6644, 0.3356, 0.5000)  8 Pd 2.83-2.86, 4 Au 2.93-2.99
Au (0.3356, 0.6644, 0.5000)  8 Pd 2.83-2.86, 4 Au 2.93-2.99
Pd (0.5006, 0.5006, 0.2490)  6 Au 2.83-2.88, 2 Tm 2.86, 4 Pd 2.96
Pd (0.8326, 0.1674, 0.2514)  7 Au 2.83-2.88, 1 Tm 2.86, 4 Pd 2.94-2.96
Pd (0.1674, 0.8326, 0.2514)  7 Au 2.83-2.88, 1 Tm 2.86, 4 Pd 2.94-2.96
Pd (0.8326, 0.1674, 0.7486)  7 Au 2.83-2.88, 1 Tm 2.86, 4 Pd 2.94-2.96
Pd (0.1674, 0.8326, 0.7486)  7 Au 2.83-2.88, 1 Tm 2.86, 4 Pd 2.94-2.96
Pd (0.4994, 0.4994, 0.7510)  6 Au 2.83-2.88, 2 Tm 2.86, 4 Pd 2.96
Tm (0.0000, 0.0000, 0.0000)  8 Pd 2.86, 4 Au 2.96

# 4
A relaxed TmPd2Au5 crystal, computed with GGA-PBE.

Results
* crystal system: orthorhombic
* ΔH_f (0 K): -44.9 kJ/mol of atoms
* energy: -69.8 eV/cell
* SG: Pbam
* total magnetic moment: 0.01 Bohr magnetons per cell

Cell: 5.8734 11.7610 4.1795 Å, 90.00 90.00 90.00°
With the nearest neighbours (Å) after each atom.
Sites, in units of the cell vectors:
Au (0.0000, 0.0000, 0.0000)  4 Pd 2.93, 2 Tm 2.94, 6 Au 2.95-2.97
Au (0.5001, 0.2478, 0.0000)  1 Tm 2.91, 7 Au 2.94-2.97, 4 Pd 2.95-2.97
Au (0.0001, 0.2522, 0.0000)  1 Tm 2.91, 7 Au 2.94-2.97, 4 Pd 2.95-2.97
Au (0.5000, 0.5000, 0.0000)  4 Pd 2.93, 2 Tm 2.94, 6 Au 2.95-2.97
Au (0.9999, 0.7478, 0.0000)  1 Tm 2.91, 7 Au 2.94-2.97, 4 Pd 2.95-2.97
Au (0.4999, 0.7522, 0.0000)  1 Tm 2.91, 7 Au 2.94-2.97, 4 Pd 2.95-2.97
Au (0.7544, 0.1270, 0.5000)  4 Pd 2.91-2.97, 6 Au 2.94-2.95, 2 Tm 2.97
Au (0.2544, 0.3730, 0.5000)  4 Pd 2.91-2.97, 6 Au 2.94-2.95, 2 Tm 2.97
Au (0.7456, 0.6270, 0.5000)  4 Pd 2.91-2.97, 6 Au 2.94-2.95, 2 Tm 2.97
Au (0.2456, 0.8730, 0.5000)  4 Pd 2.91-2.97, 6 Au 2.94-2.95, 2 Tm 2.97
Pd (0.2492, 0.1231, 0.5000)  10 Au 2.91-2.97, 2 Tm 2.94
Pd (0.7492, 0.3769, 0.5000)  10 Au 2.91-2.97, 2 Tm 2.94
Pd (0.2508, 0.6231, 0.5000)  10 Au 2.91-2.97, 2 Tm 2.94
Pd (0.7508, 0.8769, 0.5000)  10 Au 2.91-2.97, 2 Tm 2.94
Tm (0.5000, 0.0000, 0.0000)  8 Au 2.91-2.97, 4 Pd 2.94
Tm (0.0000, 0.5000, 0.0000)  8 Au 2.91-2.97, 4 Pd 2.94

# 5
A relaxed PdW2Au crystal, computed with GGA-PBE.

Results
* crystal system: cubic
* ΔH_f (0 K): 40.3 kJ/mol of atoms
* energy: -32.7 eV/cell
* SG: F-43m
* total magnetic moment: 0.00 Bohr magnetons per cell

Cell: 4.5259 4.5259 4.5259 Å, 60.00 60.00 60.00°
With the nearest neighbours (Å) after each atom.
Sites, in units of the cell vectors:
Au (0.2500, 0.2500, 0.2500)  4 Pd 2.77, 4 W 2.77
Pd (0.5000, 0.5000, 0.5000)  4 Au 2.77, 4 W 2.77
W (0.0000, 0.0000, 0.0000)  4 W 2.77, 4 Au 2.77
W (0.7500, 0.7500, 0.7500)  4 Pd 2.77, 4 W 2.77

# 6
A relaxed Y2Pd5Au crystal, computed with GGA-PBE.

Results
* crystal system: tetragonal
* ΔH_f (0 K): -84.5 kJ/mol of atoms
* energy: -49.1 eV/cell
* SG: I4/mmm
* total magnetic moment: 0.00 Bohr magnetons per cell

Cell: 5.8307 5.8307 5.8307 Å, 118.91 118.91 91.90°
With the nearest neighbours (Å) after each atom.
Sites, in units of the cell vectors:
Au (0.2221, 0.2221, 0.0000)  8 Pd 2.92, 4 Y 2.96
Pd (0.7221, 0.2222, 0.0000)  6 Pd 2.91-2.96, 4 Y 2.92, 2 Au 2.92
Pd (0.2222, 0.7221, 0.0000)  6 Pd 2.91-2.96, 4 Y 2.92, 2 Au 2.92
Pd (0.7222, 0.7222, 0.0000)  8 Pd 2.91-2.92, 4 Y 2.96
Pd (0.7221, 0.7221, 0.4999)  6 Pd 2.91-2.96, 4 Y 2.92, 2 Au 2.92
Pd (0.2222, 0.2222, 0.5001)  6 Pd 2.91-2.96, 2 Au 2.92, 4 Y 2.92
Y (0.7221, 0.2221, 0.5000)  10 Pd 2.92-2.96, 2 Au 2.96
Y (0.2221, 0.7221, 0.5000)  10 Pd 2.92-2.96, 2 Au 2.96

# 7
A relaxed Y2Pd2Au crystal, computed with GGA-PBE.

Results
* crystal system: tetragonal
* ΔH_f (0 K): -85.5 kJ/mol of atoms
* energy: -62.0 eV/cell
* SG: P4/mbm
* total magnetic moment: 0.02 Bohr magnetons per cell

Cell: 7.5892 7.5892 3.7140 Å, 90.00 90.00 90.00°
With the nearest neighbours (Å) after each atom.
Sites, in units of the cell vectors:
Au (0.0000, 0.0000, 0.0000)  4 Pd 2.98
Au (0.5000, 0.5000, 0.0000)  4 Pd 2.98
Pd (0.3715, 0.1285, 0.0000)  1 Pd 2.76, 6 Y 2.81-2.98, 2 Au 2.98
Pd (0.8715, 0.3715, 0.0000)  1 Pd 2.76, 6 Y 2.81-2.98, 2 Au 2.98
Pd (0.1285, 0.6285, 0.0000)  1 Pd 2.76, 6 Y 2.81-2.98, 2 Au 2.98
Pd (0.6285, 0.8715, 0.0000)  1 Pd 2.76, 6 Y 2.81-2.98, 2 Au 2.98
Y (0.6746, 0.1746, 0.5000)  6 Pd 2.81-2.98
Y (0.1746, 0.3254, 0.5000)  6 Pd 2.81-2.98
Y (0.8254, 0.6746, 0.5000)  6 Pd 2.81-2.98
Y (0.3254, 0.8254, 0.5000)  6 Pd 2.81-2.98

# 8
A relaxed YPd2Au2 crystal, computed with GGA-PBE.

Results
* crystal system: tetragonal
* ΔH_f (0 K): -47.3 kJ/mol of atoms
* energy: -25.8 eV/cell
* SG: I4/mmm
* total magnetic moment: 0.00 Bohr magnetons per cell

Cell: 3.9696 3.9696 6.9338 Å, 106.63 106.63 90.00°
With the nearest neighbours (Å) after each atom.
Sites, in units of the cell vectors:
Au (0.7500, 0.2500, 0.5000)  4 Pd 2.75, 4 Au 2.81
Au (0.2500, 0.7500, 0.5000)  4 Pd 2.75, 4 Au 2.81
Pd (0.5999, 0.5999, 0.1999)  1 Pd 2.53, 4 Au 2.75
Pd (0.4001, 0.4001, 0.8001)  1 Pd 2.53, 4 Au 2.75
Y (0.0000, 0.0000, 0.0000)  8 Pd 3.08